SmPu2Pa3P6 after structural relaxation. Source: the Alexandria database, functional PBE.

Cell lengths 6.9320, 6.9320, 6.9193 Å; angles 99.61, 99.61, 120.01 degrees
Fractional positions:
Sm 0.0000 0.0000 0.0000
Pu 0.3331 0.6669 0.0000
Pu 0.6669 0.3331 0.0000
Pa 0.1653 0.8347 0.5000
Pa 0.5000 0.5000 0.5000
Pa 0.8347 0.1653 0.5000
P 0.0856 0.4231 0.2564
P 0.2526 0.2526 0.7449
P 0.4231 0.0856 0.2564
P 0.5769 0.9144 0.7436
P 0.7474 0.7474 0.2551
P 0.9144 0.5769 0.7436

Density, g cm⁻³: 9.284
Space-group type: No. 12
ΔH_f (0 K), eV/atom: -1.32
Total energy, eV for the cell shown: -110.2
Magnetic moment, μB per cell: 11.015